A relaxed Fe10OF19 crystal, computed with GGA+U.

a b c (Å): 17.3931 17.3931 3.1940
angles (deg): 90.00 90.00 157.46
Closest atoms and distances in Å follow each position.
Fractional coordinates of all 30 atoms:
1 F 0.8344 0.1549 0.5000  3 Fe 2.05-2.07
2 F 0.6979 0.8983 0.0000  3 Fe 2.03-2.11
3 F 0.0532 0.9710 0.5000  3 Fe 2.01-2.13
4 F 0.3119 0.3119 0.0000  3 Fe 2.18
5 F 0.4970 0.0976 0.0000  3 Fe 2.04-2.10
6 F 0.6406 0.3625 0.5000  3 Fe 2.08-2.10
7 F 0.7602 0.2353 0.5000  3 Fe 2.07-2.11
8 F 0.8979 0.4963 0.0000  3 Fe 2.04-2.10
9 F 0.4963 0.8979 0.0000  3 Fe 2.04-2.10
10 F 0.9710 0.0532 0.5000  3 Fe 2.01-2.13
11 F 0.1549 0.8344 0.5000  3 Fe 2.05-2.07
12 F 0.3625 0.6406 0.5000  3 Fe 2.08-2.10
13 F 0.5525 0.4348 0.5000  3 Fe 2.02-2.12
14 F 0.3018 0.1001 0.0000  3 Fe 2.03-2.10
15 F 0.4348 0.5525 0.5000  3 Fe 2.02-2.12
16 F 0.8983 0.6979 0.0000  3 Fe 2.03-2.11
17 F 0.1001 0.3018 0.0000  3 Fe 2.03-2.10
18 F 0.2353 0.7602 0.5000  3 Fe 2.07-2.11
19 F 0.0976 0.4970 0.0000  3 Fe 2.04-2.10
20 Fe 0.7978 0.1959 0.0000  6 F 2.04-2.07
21 Fe 0.3992 0.5989 0.0000  6 F 2.03-2.12
22 Fe 0.2970 0.6981 0.5000  6 F 2.10-2.11
23 Fe 0.1959 0.7978 0.0000  6 F 2.04-2.07
24 Fe 0.1001 0.9000 0.5000  6 F 2.01-2.11
25 Fe 0.5989 0.3992 0.0000  6 F 2.03-2.12
26 Fe 0.5307 0.5307 0.5000  2 O 1.94, 2 F 2.02
27 Fe 0.9000 0.1001 0.5000  6 F 2.01-2.11
28 Fe 0.9907 0.9907 0.0000  1 O 2.02, 5 F 2.13-2.18
29 Fe 0.6981 0.2970 0.5000  6 F 2.10-2.11
30 O 0.6935 0.6935 0.0000  3 Fe 1.94-2.02

Output
magnetic moment	1.0	μB/f.u.
VASP energy	-5.278	eV per atom
distance to the lowest polymorph of the same formula	0.194	eV/atom